! Au2Cl, single point on PBEsol structure, DFT meta-GGA SCAN; values from VASP
! V in Å³/atom: 17.975
! Formation energy (no corrections) in kJ/mol of atoms: 44.0
! Distance to the lowest polymorph of the same formula in eV/atom: 0.000
! DFT total energy in eV/atom: -48.308
&SYSTEM
  ibrav = 0, nat = 6, ntyp = 2
/
ATOMIC_SPECIES
Au 196.97 Au.upf
Cl 35.45 Cl.upf
ATOMIC_POSITIONS angstrom
Au 0.000 0.000 0.000
Au -1.538 -0.923 2.273
Au -4.399 0.068 2.583
Au -2.575 -1.537 -0.522
Cl -4.112 -2.460 1.750
Cl -2.861 0.991 0.311
CELL_PARAMETERS angstrom
-2.379 3.981 0.008
-1.519 -3.604 -2.492
-3.075 -1.846 4.545